Record 1
Sr2OsPbO8 PBE relaxed; calculated volume = 16.22 Å³/atom; E_tot = -6.352 eV per atom; E_form (uncorrected) = -1.52 eV/atom
1.0
5.2615 -0.1441 -0.0035
-0.1268 5.2556 -0.0030
0.0027 0.0124 7.0426
Sr O Os Pb
2 8 1 1
Cartesian
2.5695 2.5598 1.7050 Sr
2.5679 2.5642 5.3311 Sr
3.8251 3.8163 7.0355 O
0.7884 4.3376 1.3771 O
1.4045 1.4061 3.5189 O
4.3442 0.7757 1.3736 O
3.7329 3.7179 3.5172 O
1.3123 1.3077 0.0006 O
4.3490 0.7863 5.6590 O
0.7932 4.3482 5.6625 O
0.0000 0.0000 0.0000 Os
0.0014 0.0062 3.5213 Pb

=====

Record 2
Sr2OsPbO6 PBE relaxed; calculated volume = 15.41 Å³/atom; E_tot = -6.611 eV per atom; E_form (uncorrected) = -1.81 eV/atom
1.0
6.1540 0.0012 0.0027
3.0780 5.3263 0.0045
3.0798 1.7792 4.7037
O Os Sr Pb
6 1 2 1
Cartesian
6.7668 2.0800 3.8179 O
8.6220 3.2523 1.3777 O
5.1894 5.8397 1.3872 O
7.1234 4.8178 3.8101 O
4.6605 1.5732 1.3746 O
4.5743 3.7580 3.8182 O
3.0775 1.7760 0.2446 Os
3.0768 1.7775 3.5644 Sr
6.1580 3.5537 1.6287 Sr
9.2334 5.3293 2.6003 Pb

=====

Record 3
Tb2OsPbO8 PBE relaxed; calculated volume = 14.56 Å³/atom; E_tot = -7.345 eV per atom; E_form (uncorrected) = -2.02 eV/atom
1.0
-0.7920 4.3192 -2.4715
1.8871 -2.1000 -4.1724
-6.2937 -2.1606 -1.7592
O Os Tb Pb
8 1 2 1
Cartesian
-5.4853 -0.5274 -6.6571 O
-1.6297 2.6994 -3.1529 O
0.0756 -1.3898 -4.2313 O
-2.3910 0.4477 -5.4610 O
-3.5689 -2.6409 -5.2502 O
0.2867 0.5860 -1.7459 O
-2.8076 -0.3891 -2.9421 O
-5.2741 1.4484 -4.1717 O
0.0000 0.0000 0.0000 Os
-1.0350 0.5663 -3.7644 Tb
-4.1635 -0.5078 -4.6387 Tb
-3.1469 -1.0803 -0.8796 Pb